A plane-wave DFT calculation with PBE was carried out for an optimized crystal structure of Dy2HoTh.

a b c (Å): 3.558 3.558 11.723
angles (deg): 81.27 81.27 60.00
Fractional positions:
Ho 0.666 0.666 0.001
Dy 0.082 0.082 0.753
Dy 0.250 0.250 0.249
Th 0.501 0.501 0.498

ρ: 9.47 Mg/m³
Space-group type: No. 160
Calculated formation energy: 0.0335 eV per atom
Energy above the most stable polymorph in this dataset: 9 meV/atom